Entry 1:
Density functional theory data (PBE) for crystalline Pm2Dy5Er6 at its relaxed geometry.

Calculated values
The calculation puts the magnetic moment at 0.00 μB per formula unit. The value obtained for the uncorrected energy is -117.187 eV per cell.

Cell lengths 11.616, 20.128, 3.561 Å; angles 90.00, 90.00, 90.00 degrees
Space group Pbam (No. 55)
Asymmetric unit:
Pm (0.168, 0.214, 0.000) (multiplicity 4)
Dy (0.000, 0.500, 0.500) (multiplicity 2)
Dy (0.091, 0.776, 0.500) (multiplicity 4)
Dy (0.200, 0.050, 0.500) (multiplicity 4)
Er (0.059, 0.921, 0.000) (multiplicity 4)
Er (0.080, 0.633, 0.000) (multiplicity 4)
Er (0.177, 0.370, 0.500) (multiplicity 4)

Entry 2:
Density functional theory data (PBE) for crystalline Pm2Dy8Er at its relaxed geometry.

Calculated values
The calculation puts the magnetic moment at 0.00 μB per formula unit. The value obtained for the uncorrected energy is -101.350 eV per cell. The energy above the most stable polymorph in this dataset is 0.0 meV/atom.

Cell lengths 18.142, 5.029, 7.960 Å; angles 90.00, 105.28, 90.00 degrees
Space group C2/m (No. 12)
Asymmetric unit:
Pm (0.227, 0.000, 0.137) (multiplicity 4)
Dy (0.045, 0.000, 0.228) (multiplicity 4)
Dy (0.090, 0.500, 0.953) (multiplicity 4)
Dy (0.135, 0.000, 0.679) (multiplicity 4)
Dy (0.181, 0.500, 0.408) (multiplicity 4)
Er (0.000, 0.500, 0.500) (multiplicity 2)

Entry 3:
Density functional theory data (PBE) for crystalline Pm9DyEr2 at its relaxed geometry.

Calculated values
The calculation puts the magnetic moment at 0.00 μB per formula unit. The value obtained for the uncorrected energy is -56.286 eV per cell.

Cell lengths 5.114, 5.114, 15.337 Å; angles 90.00, 90.00, 90.00 degrees
Space group P4/mmm (No. 123)
Asymmetric unit:
Pm (0.000, 0.000, 0.000) (multiplicity 1)
Pm (0.000, 0.000, 0.334) (multiplicity 2)
Pm (0.000, 0.500, 0.167) (multiplicity 4)
Pm (0.000, 0.500, 0.500) (multiplicity 2)
Dy (0.500, 0.500, 0.000) (multiplicity 1)
Er (0.500, 0.500, 0.334) (multiplicity 2)

Entry 4:
Density functional theory data (PBE) for crystalline Pm4Dy6Er19 at its relaxed geometry.

Calculated values
The calculation puts the magnetic moment at 0.00 μB per formula unit. The value obtained for the uncorrected energy is -243.835 eV per cell.

Cell lengths 12.392, 12.392, 12.392 Å; angles 90.00, 90.00, 90.00 degrees
Space group I23 (No. 197)
Asymmetric unit:
Pm (0.179, 0.179, 0.821) (multiplicity 8)
Dy (0.000, 0.373, 0.500) (multiplicity 12)
Er (0.000, 0.000, 0.000) (multiplicity 2)
Er (0.000, 0.000, 0.261) (multiplicity 12)
Er (0.063, 0.263, 0.277) (multiplicity 24)

Entry 5:
Density functional theory data (PBE) for crystalline Pm4Dy4Er3 at its relaxed geometry.

Calculated values
The calculation puts the magnetic moment at 0.00 μB per formula unit. The value obtained for the uncorrected energy is -100.847 eV per cell. The energy above the most stable polymorph in this dataset is 0.0 meV/atom.

Cell lengths 3.524, 5.644, 35.545 Å; angles 90.00, 90.00, 90.00 degrees
Space group Immm (No. 71)
Asymmetric unit:
Pm (0.000, 0.000, 0.090) (multiplicity 4)
Pm (0.000, 0.500, 0.232) (multiplicity 4)
Dy (0.000, 0.000, 0.180) (multiplicity 4)
Dy (0.000, 0.500, 0.046) (multiplicity 4)
Er (0.000, 0.000, 0.364) (multiplicity 4)
Er (0.000, 0.500, 0.500) (multiplicity 2)

Entry 6:
Density functional theory data (PBE) for crystalline Pm12DyEr6 at its relaxed geometry.

Calculated values
The calculation puts the magnetic moment at 0.00 μB per formula unit. The value obtained for the uncorrected energy is -259.161 eV per cell. The energy above the most stable polymorph in this dataset is 120.9 meV/atom.

Cell lengths 12.0722, 12.0722, 15.2225 Å; angles 90.00, 90.00, 120.00 degrees
Space group R-3 (No. 148, hexagonal axes)
Asymmetric unit:
Pm (0.0036, 0.8291, 0.1916) (multiplicity 18)
Pm (0.0465, 0.8496, 0.4164) (multiplicity 18)
Dy (0.0000, 0.0000, 0.0000) (multiplicity 3)
Er (0.0153, 0.4277, 0.6866) (multiplicity 18)

Formation enthalpy at 0 K (eV/atom)
0.100 0.019 0.016 0.393 0.061 0.137